The following is a DFT calculation (PBE) of a relaxed Rb3TaPd crystal.

Structure (POSCAR):
```
Rb3TaPd
1.0
-0.360 6.281 0.879
-4.850 0.295 -4.092
-4.087 -0.903 4.779
Rb Pd Ta
3 1 1
Direct
0.000 0.500 0.000
0.000 0.000 0.500
0.500 0.000 0.000
0.000 0.000 0.000
0.500 0.500 0.500
```

Density, g cm⁻³: 3.522
E, eV/atom: -2.635
Total moment, μB per formula unit: 4.0
D(E_F), states/eV per atom: 2.330
ΔH_f (0 K), eV/atom: 1.355
Space group: Pm-3m (221)